[1]
Pu2ZrSe3: optimized geometry, PBE-GGA.

Calculated values
Its space group is P6_3/mmc. For the energy relative to the elements, uncorrected, the calculation gives -1.3628 eV/atom.

Lattice parameters (Å, degrees): 3.9554 3.9554 20.8689 90.00 90.00 120.00
With the nearest neighbours (Å) after each atom.
Element x y z (fractional)
Pu: 0.6667 0.3333 0.4135  6 Se 2.90-2.91
Pu: 0.3333 0.6667 0.5865  6 Se 2.90-2.91
Pu: 0.3333 0.6667 0.9135  6 Se 2.90-2.91
Pu: 0.6667 0.3333 0.0865  6 Se 2.90-2.91
Se: 0.3333 0.6667 0.3279  3 Zr 2.80, 3 Pu 2.90
Se: 0.6667 0.3333 0.6721  3 Zr 2.80, 3 Pu 2.90
Se: 0.3333 0.6667 0.1721  3 Zr 2.80, 3 Pu 2.90
Se: 0.0000 0.0000 0.5000  6 Pu 2.91
Se: 0.0000 0.0000 0.0000  6 Pu 2.91
Se: 0.6667 0.3333 0.8279  3 Zr 2.80, 3 Pu 2.90
Zr: 0.0000 0.0000 0.7500  6 Se 2.80
Zr: 0.0000 0.0000 0.2500  6 Se 2.80

***

[2]
CaSmAg: optimized geometry, PBE-GGA.

Calculated values
The formation energy comes out at -150 meV per atom. Its space group is I4mm. As for the energy above the most stable polymorph in this dataset: 0.0 meV/atom.

Lattice parameters (Å, degrees): 3.7012 3.7012 7.0526 105.21 105.21 90.00
With the nearest neighbours (Å) after each atom.
Element x y z (fractional)
Ag: 0.6704 0.6704 0.3409  4 Sm 3.15, 4 Ca 3.24
Sm: 0.3044 0.3044 0.6087  4 Ag 3.15
Ca: 0.0252 0.0252 0.0504  4 Ag 3.24

***

[3]
La4PrDy2Tm: optimized geometry, PBE-GGA.

Calculated values
The formation energy comes out at 86 meV per atom. Its space group is P2/m.

Lattice parameters (Å, degrees): 6.0116 9.7708 6.0109 52.04 90.00 90.00
With the nearest neighbours (Å) after each atom.
Element x y z (fractional)
Pr: 0.5000 0.5000 0.0000  8 La 3.59-3.60, 2 Dy 3.85
Tm: 0.0000 0.5000 0.5000  8 La 3.59-3.60, 2 Dy 3.85
La: 0.0000 0.2429 0.2569  4 Dy 3.54, 2 Tm 3.60, 2 Pr 3.60, 2 La 3.74-3.96
La: 0.0000 0.7571 0.7431  4 Dy 3.54, 2 Tm 3.60, 2 Pr 3.60, 2 La 3.74-3.96
La: 0.5000 0.7554 0.2436  4 Dy 3.54-3.55, 2 Pr 3.59-3.60, 2 Tm 3.59, 2 La 3.77-3.93
La: 0.5000 0.2446 0.7564  4 Dy 3.54-3.55, 2 Pr 3.59-3.60, 2 Tm 3.59, 2 La 3.77-3.93
Dy: 0.5000 0.0000 0.5000  8 La 3.54-3.55, 2 Pr 3.85
Dy: 0.0000 0.0000 0.0000  8 La 3.54-3.55, 2 Tm 3.85

***

[4]
LiSbTe2Pb: optimized geometry, PBE-GGA.

Calculated values
Its space group is P4/mmm. As for the energy above the most stable polymorph in this dataset: 0.0 meV/atom. For the energy relative to the elements, uncorrected, the calculation gives 0.0793 eV/atom.

Lattice parameters (Å, degrees): 5.4300 5.4300 4.8217 90.00 90.00 90.00
With the nearest neighbours (Å) after each atom.
Element x y z (fractional)
Te: 0.0000 0.5000 0.0000  2 Li 2.72
Te: 0.5000 0.0000 0.0000  2 Li 2.72
Sb: 0.0000 0.0000 0.5000  2 Li 2.41
Pb: 0.5000 0.5000 0.5000  8 Te 3.63, 4 Sb 3.84
Li: 0.0000 0.0000 0.0000  2 Sb 2.41

***

[5]
Ti3ZnRe: optimized geometry, PBE-GGA.

Calculated values
The formation energy comes out at -255 meV per atom. Its space group is Cmcm. As for the energy above the most stable polymorph in this dataset: 0.0 meV/atom.

Lattice parameters (Å, degrees): 4.3519 4.3708 8.5207 90.00 104.83 90.00
With the nearest neighbours (Å) after each atom.
Element x y z (fractional)
Re: 0.1671 0.3444 0.6155  8 Ti 2.68-2.73
Re: 0.8585 0.8444 0.9991  8 Ti 2.68-2.73
Ti: 0.2632 0.8444 0.8078  4 Re 2.68-2.70, 4 Zn 2.70-2.71
Ti: 0.7624 0.3444 0.8067  4 Re 2.68-2.70, 4 Zn 2.70-2.71
Ti: 0.4567 0.8444 0.1955  2 Zn 2.71, 2 Re 2.71, 4 Ti 2.84-2.86
Ti: 0.0677 0.8443 0.4172  2 Zn 2.71, 2 Re 2.73, 4 Ti 2.84
Ti: 0.9581 0.3443 0.1974  2 Zn 2.71, 2 Re 2.73, 4 Ti 2.84
Ti: 0.5690 0.3444 0.4191  2 Zn 2.71, 2 Re 2.71, 4 Ti 2.84-2.86
Zn: 0.6657 0.8444 0.6130  8 Ti 2.70-2.71
Zn: 0.3600 0.3444 0.0014  8 Ti 2.70-2.71

***

[6]
K2CuAsPd: optimized geometry, PBE-GGA.

Calculated values
The formation energy comes out at 205 meV per atom. Its space group is P4/mmm.

Lattice parameters (Å, degrees): 6.4462 4.5773 6.4462 90.00 90.00 90.00
With the nearest neighbours (Å) after each atom.
Element x y z (fractional)
As: 0.0000 0.0000 0.0000  2 Pd 2.29
Cu: 0.5000 0.5000 0.5000  8 K 3.95
K: 0.5000 0.0000 0.0000  2 As 3.22
K: 0.0000 0.0000 0.5000  2 As 3.22
Pd: 0.0000 0.5000 0.0000  2 As 2.29

***

[7]
FeHg2Sb: optimized geometry, PBE-GGA.

Calculated values
Its space group is F-43m. For the energy relative to the elements, uncorrected, the calculation gives 0.5458 eV/atom.

Lattice parameters (Å, degrees): 4.9917 4.9917 4.9917 60.00 60.00 60.00
With the nearest neighbours (Å) after each atom.
Element x y z (fractional)
Hg: 0.7500 0.7500 0.7500  4 Hg 3.06, 4 Fe 3.06
Hg: 0.0000 0.0000 0.0000  4 Hg 3.06, 4 Sb 3.06
Fe: 0.5000 0.5000 0.5000  4 Hg 3.06, 4 Sb 3.06
Sb: 0.2500 0.2500 0.2500  4 Fe 3.06, 4 Hg 3.06

***

[8]
LaVZn2Br: optimized geometry, PBE-GGA.

Calculated values
Its space group is P4/mmm. For the energy relative to the elements, uncorrected, the calculation gives 0.7254 eV/atom.

Lattice parameters (Å, degrees): 5.0840 5.5628 5.0840 90.00 90.00 90.00
With the nearest neighbours (Å) after each atom.
Element x y z (fractional)
Br: 0.0000 0.0000 0.0000  4 Zn 2.54, 2 La 2.78
Zn: 0.5000 0.0000 0.0000  2 Br 2.54
Zn: 0.0000 0.0000 0.5000  2 Br 2.54
La: 0.0000 0.5000 0.0000  2 Br 2.78
V: 0.5000 0.5000 0.5000  4 La 3.59, 8 Zn 3.77

***

[9]
LaTlSn2Pt: optimized geometry, PBE-GGA.

Calculated values
The formation energy comes out at -156 meV per atom. Its space group is P4/mmm.

Lattice parameters (Å, degrees): 5.3225 5.2406 5.3225 90.00 90.00 90.00
With the nearest neighbours (Å) after each atom.
Element x y z (fractional)
Sn: 0.0000 0.0000 0.5000  2 Pt 2.66
Sn: 0.5000 0.0000 0.0000  2 Pt 2.66
Tl: 0.0000 0.5000 0.0000  2 Pt 2.62
La: 0.5000 0.5000 0.5000  8 Sn 3.73, 4 Tl 3.76
Pt: 0.0000 0.0000 0.0000  2 Tl 2.62, 4 Sn 2.66

***

[10]
NdZnPd: optimized geometry, PBE-GGA.

Calculated values
The formation energy comes out at -653 meV per atom. Its space group is C2/m.

Lattice parameters (Å, degrees): 4.4880 5.5887 6.0226 75.17 68.12 66.33
With the nearest neighbours (Å) after each atom.
Element x y z (fractional)
Nd: 0.5500 0.2025 0.6976  5 Pd 2.94-3.24, 5 Zn 3.19-3.28
Nd: 0.4500 0.7975 0.3024  5 Pd 2.94-3.24, 5 Zn 3.19-3.28
Pd: 0.1674 0.3741 0.2910  3 Zn 2.62-2.75, 1 Pd 2.81
Pd: 0.8326 0.6259 0.7090  3 Zn 2.62-2.75, 1 Pd 2.81
Zn: 0.1677 0.7624 0.9023  3 Pd 2.62-2.75, 1 Zn 2.79
Zn: 0.8323 0.2376 0.0977  3 Pd 2.62-2.75, 1 Zn 2.79

***

[11]
Ba4PrS5: optimized geometry, PBE-GGA.

Calculated values
Its space group is I4. For the energy relative to the elements, uncorrected, the calculation gives -2.0277 eV/atom.

Lattice parameters (Å, degrees): 6.3063 7.7157 7.7157 80.39 65.88 65.88
With the nearest neighbours (Å) after each atom.
Element x y z (fractional)
Ba: 0.8009 0.7971 0.6032  6 S 3.14-3.33
Ba: 0.4041 0.3968 0.7971  6 S 3.14-3.33
Ba: 0.2013 0.2029 0.3968  6 S 3.14-3.33
Ba: 0.5980 0.6032 0.2029  6 S 3.14-3.33
Pr: 0.0020 0.0000 0.0000  6 S 2.94-3.17
S: 0.0947 0.6264 0.1864  1 Pr 2.94, 4 Ba 3.16-3.18
S: 0.7211 0.1864 0.3736  1 Pr 2.94, 4 Ba 3.16-3.18
S: 0.2811 0.8136 0.6264  1 Pr 2.94, 4 Ba 3.16-3.18
S: 0.4996 0.0000 0.0000  4 Ba 3.14, 2 Pr 3.14-3.17
S: 0.9074 0.3736 0.8136  1 Pr 2.94, 4 Ba 3.16-3.18

***

[12]
CsBaH2I: optimized geometry, PBE-GGA.

Calculated values
Its final energy is -2.92 eV/atom. Its space group is P4/mmm.

Lattice parameters (Å, degrees): 5.3282 5.3282 6.9736 90.00 90.00 90.00
With the nearest neighbours (Å) after each atom.
Element x y z (fractional)
Cs: 0.5000 0.5000 0.5000  4 I 3.77
Ba: 0.0000 0.0000 0.0000  4 H 2.66
H: 0.0000 0.5000 0.0000  2 Ba 2.66
H: 0.5000 0.0000 0.0000  2 Ba 2.66
I: 0.0000 0.0000 0.5000  2 Ba 3.49, 4 Cs 3.77